TlFePt2: single point on PBEsol structure, SCAN.

```
TlFePt2
1.0
-2.782 -0.513 0.492
-0.424 -0.395 -2.812
1.539 -7.555 0.830
Fe Pt Tl
1 2 1
Direct
0.500 0.500 0.500
0.000 0.000 0.714
0.000 0.000 0.286
0.500 0.500 0.000
```

Values from the calculation:
Calculated formation energy ... -68.2 meV/atom
Calculated density ... 16.89 g/cm3